No. 1
Ac3Te2Se2 | PBE | optimized geometry

Summary:
E above lowest polymorph = 85 meV per atom
E_tot = -5.310 eV/atom
ΔE_f (raw) = -38.184 kcal/mol of atoms

a = 18.2426 Å, b = 4.5081 Å, c = 6.7868 Å
α = 90.00°, β = 97.28°, γ = 90.00°
Closest atoms and distances in Å follow each position.
Space group C2/m (No. 12)
Unique sites:
Ac  0.0000  0.0000  0.0000 [2 per cell]  4 Se 3.13, 2 Te 3.46
Ac  0.1806  0.0000  0.7247 [4 per cell]  2 Se 3.08, 4 Te 3.35-3.44
Te  0.1804  0.0000  0.2308 [4 per cell]  5 Ac 3.35-3.46
Se  0.0681  0.5000  0.7607 [4 per cell]  4 Ac 3.08-3.13


No. 2
Ac2TeSe4 | PBE | optimized geometry

Summary:
E_tot = -4.842 eV/atom
ΔE_f (raw) = -28.327 kcal/mol of atoms

a = 14.8106 Å, b = 4.8419 Å, c = 7.9855 Å
α = 90.00°, β = 119.99°, γ = 90.00°
Closest atoms and distances in Å follow each position.
Space group C2/m (No. 12)
Unique sites:
Ac  0.2272  0.0000  0.2356 [4 per cell]  6 Se 3.08-3.17
Te  0.0000  0.5000  0.5000 [2 per cell]  2 Se 2.79
Se  0.1162  0.5000  0.3121 [4 per cell]  1 Te 2.79
Se  0.1488  0.0000  0.7978 [4 per cell]  3 Ac 3.08-3.13, 2 Te 3.34


No. 3
Ac2TeSe | PBE | optimized geometry

Summary:
E above lowest polymorph = 186 meV per atom
E_tot = -5.207 eV/atom
ΔE_f (raw) = -34.505 kcal/mol of atoms

a = 3.9552 Å, b = 3.9552 Å, c = 7.9298 Å
α = 90.00°, β = 90.00°, γ = 90.00°
Closest atoms and distances in Å follow each position.
Space group P4/mmm (No. 123)
Unique sites:
Ac  0.0000  0.0000  0.2423 [2 per cell]  4 Se 3.39, 4 Te 3.46
Te  0.5000  0.5000  0.5000 [1 per cell]  8 Ac 3.46
Se  0.5000  0.5000  0.0000 [1 per cell]  8 Ac 3.39


No. 4
AcTeSe | PBE | optimized geometry

Summary:
E above lowest polymorph = 366 meV per atom
E_tot = -4.833 eV/atom
ΔE_f (raw) = -28.932 kcal/mol of atoms

a = 7.6412 Å, b = 7.6412 Å, c = 7.6412 Å
α = 90.00°, β = 90.00°, γ = 90.00°
Closest atoms and distances in Å follow each position.
Space group F-43m (No. 216)
Unique sites:
Ac  0.0000  0.0000  0.0000 [4 per cell]  4 Se 3.31, 4 Te 3.31
Te  0.2500  0.2500  0.7500 [4 per cell]  4 Ac 3.31
Se  0.2500  0.2500  0.2500 [4 per cell]  4 Ac 3.31


No. 5
AcTeSe | PBE | optimized geometry

Summary:
E above lowest polymorph = 21 meV per atom
E_tot = -5.177 eV/atom
ΔE_f (raw) = -36.872 kcal/mol of atoms

a = 4.5066 Å, b = 4.5066 Å, c = 18.4930 Å
α = 90.00°, β = 90.00°, γ = 90.00°
Closest atoms and distances in Å follow each position.
Space group I4/mmm (No. 139)
Unique sites:
Ac  0.0000  0.0000  0.1474 [4 per cell]  5 Se 3.13-3.25
Te  0.0000  0.5000  0.0000 [4 per cell]  4 Te 3.19, 4 Ac 3.54
Se  0.0000  0.0000  0.3168 [4 per cell]  5 Ac 3.13-3.25


No. 6
Ac5Te5Se2 | PBE | optimized geometry

Summary:
E_tot = -5.300 eV/atom
ΔE_f (raw) = -39.172 kcal/mol of atoms

a = 15.4074 Å, b = 4.5836 Å, c = 13.5693 Å
α = 90.00°, β = 106.51°, γ = 90.00°
Closest atoms and distances in Å follow each position.
Space group C2/m (No. 12)
Unique sites:
Ac  0.0000  0.0000  0.0000 [2 per cell]  2 Se 3.09, 4 Te 3.33
Ac  0.1091  0.0000  0.4094 [4 per cell]  1 Se 3.04, 5 Te 3.28-3.39
Ac  0.1848  0.5000  0.8039 [4 per cell]  2 Se 3.14, 5 Te 3.45-3.48
Te  0.0000  0.5000  0.5000 [2 per cell]  4 Ac 3.28
Te  0.1638  0.5000  0.0522 [4 per cell]  5 Ac 3.33-3.48
Te  0.2450  0.5000  0.3506 [4 per cell]  5 Ac 3.35-3.48
Se  0.0432  0.0000  0.7910 [4 per cell]  4 Ac 3.04-3.14